(1)
## Ca3Ag2Au9 (PBE)

Data for a relaxed Ca3Ag2Au9 crystal.

The calculation puts the energy of formation at -0.455 eV per atom. The density of states at the Fermi level comes out at 5.40 states/eV per cell. The total magnetic moment is 0.00 Bohr magnetons per cell. For the raw total energy, the calculation gives -47.6 eV/cell.

Lattice parameters (Å, degrees): 4.6787 8.5994 8.5994 69.26 74.21 74.21
Fractional coordinates of all 14 atoms:
Ca: 0.0000 0.0000 0.0000
Ca: 0.7070 0.2930 0.2930
Ca: 0.2930 0.7070 0.7070
Ag: 0.5000 0.3259 0.6741
Ag: 0.5000 0.6741 0.3259
Au: 0.0000 0.5000 0.5000
Au: 0.6662 0.9718 0.6958
Au: 0.3338 0.0282 0.3042
Au: 0.6662 0.6958 0.9718
Au: 0.3338 0.3042 0.0282
Au: 0.8743 0.8503 0.4011
Au: 0.1257 0.1497 0.5989
Au: 0.8743 0.4011 0.8503
Au: 0.1257 0.5989 0.1497

(2)
## CaAgAu2 (PBE)

Data for a relaxed CaAgAu2 crystal.

The calculation puts the energy of formation at -0.458 eV per atom. The density of states at the Fermi level comes out at 1.36 states/eV per cell. The total magnetic moment is 0.00 Bohr magnetons per cell. For the raw total energy, the calculation gives -13.2 eV/cell.

Lattice parameters (Å, degrees): 5.2570 5.2570 5.2570 130.79 130.71 72.21
Fractional coordinates of all 4 atoms:
Ca: 0.5000 0.5000 0.0000
Au: 0.0000 0.0000 0.0000
Au: 0.7502 0.2502 0.5000
Ag: 0.2497 0.7497 0.5000

(3)
## CaAg2Au2 (PBE)

Data for a relaxed CaAg2Au2 crystal.

The calculation puts the energy of formation at -0.262 eV per atom. The density of states at the Fermi level comes out at 3.93 states/eV per cell. The total magnetic moment is 0.00 Bohr magnetons per cell. The value obtained for the offset from the most stable computed form is 0.103 eV/atom. For the raw total energy, the calculation gives -31.1 eV/cell.

Lattice parameters (Å, degrees): 7.6306 7.6306 3.6089 90.00 90.00 90.00
Fractional coordinates of all 10 atoms:
Ca: 0.0000 0.0000 0.0000
Ca: 0.5000 0.5000 0.0000
Au: 0.3687 0.8687 0.0000
Au: 0.8687 0.6313 0.0000
Au: 0.6313 0.1313 0.0000
Au: 0.1313 0.3687 0.0000
Ag: 0.1665 0.6665 0.5000
Ag: 0.6665 0.8335 0.5000
Ag: 0.8335 0.3335 0.5000
Ag: 0.3335 0.1665 0.5000

(4)
## CaAg6Au4 (PBE)

Data for a relaxed CaAg6Au4 crystal.

The calculation puts the energy of formation at 0.036 eV per atom. The density of states at the Fermi level comes out at 5.04 states/eV per cell. The total magnetic moment is 0.00 Bohr magnetons per cell. For the raw total energy, the calculation gives -31.8 eV/cell.

Lattice parameters (Å, degrees): 7.0993 7.0993 7.0993 86.77 121.88 121.88
Fractional coordinates of all 11 atoms:
Ca: 0.0000 0.0000 0.0000
Ag: 0.0000 0.7541 0.4507
Ag: 0.0000 0.4507 0.7541
Ag: 0.6966 0.2459 0.2459
Ag: 0.5000 0.0000 0.5000
Ag: 0.3034 0.5493 0.5493
Ag: 0.5000 0.5000 0.0000
Au: 0.0000 0.0998 0.5826
Au: 0.5172 0.4174 0.4174
Au: 0.0000 0.5826 0.0998
Au: 0.4828 0.9002 0.9002

(5)
## CaAgAu2 (PBE)

Data for a relaxed CaAgAu2 crystal.

The calculation puts the energy of formation at -0.197 eV per atom. The density of states at the Fermi level comes out at 3.40 states/eV per cell. The total magnetic moment is 0.00 Bohr magnetons per cell. For the raw total energy, the calculation gives -24.4 eV/cell.

Lattice parameters (Å, degrees): 4.2827 4.2827 10.3742 78.09 78.09 90.00
Fractional coordinates of all 8 atoms:
Ca: 0.5000 0.5000 0.0000
Ca: 0.2500 0.7500 0.5000
Au: 0.6531 0.1250 0.2500
Au: 0.0969 0.6250 0.2500
Au: 0.3750 0.3469 0.7500
Au: 0.8750 0.9031 0.7500
Ag: 0.0000 0.0000 0.0000
Ag: 0.7500 0.2500 0.5000

(6)
## CaAgAu2 (PBE)

Data for a relaxed CaAgAu2 crystal.

The calculation puts the energy of formation at -0.485 eV per atom. The density of states at the Fermi level comes out at 2.63 states/eV per cell. The total magnetic moment is 0.00 Bohr magnetons per cell. For the raw total energy, the calculation gives -26.7 eV/cell.

Lattice parameters (Å, degrees): 5.1153 5.1153 6.3939 90.00 90.00 95.84
Fractional coordinates of all 8 atoms:
Ca: 0.2855 0.7145 0.7500
Ca: 0.7145 0.2855 0.2500
Ag: 0.2814 0.7186 0.2500
Ag: 0.7186 0.2814 0.7500
Au: 0.2122 0.2122 0.5000
Au: 0.7878 0.7878 0.5000
Au: 0.2122 0.2122 0.0000
Au: 0.7878 0.7878 0.0000

(7)
## CaAgAu10 (PBE)

Data for a relaxed CaAgAu10 crystal.

The calculation puts the energy of formation at -0.168 eV per atom. The density of states at the Fermi level comes out at 3.44 states/eV per cell. The total magnetic moment is 0.00 Bohr magnetons per cell. For the raw total energy, the calculation gives -39.6 eV/cell.

Lattice parameters (Å, degrees): 4.7116 5.5202 9.6186 90.00 90.00 90.00
Fractional coordinates of all 12 atoms:
Ca: 0.0000 0.5000 0.5000
Ag: 0.0000 0.0000 0.0000
Au: 0.0000 0.0000 0.3221
Au: 0.0000 0.5000 0.8404
Au: 0.0000 0.5000 0.1596
Au: 0.0000 0.0000 0.6779
Au: 0.5000 0.0000 0.5000
Au: 0.5000 0.5000 0.0000
Au: 0.5000 0.2524 0.2517
Au: 0.5000 0.7476 0.7483
Au: 0.5000 0.7476 0.2517
Au: 0.5000 0.2524 0.7483

(8)
## Ca3Ag2Au (PBE)

Data for a relaxed Ca3Ag2Au crystal.

The calculation puts the energy of formation at -0.476 eV per atom. The density of states at the Fermi level comes out at 4.34 states/eV per cell. The total magnetic moment is 0.00 Bohr magnetons per cell. The value obtained for the offset from the most stable computed form is 0.000 eV/atom. For the raw total energy, the calculation gives -17.8 eV/cell.

Lattice parameters (Å, degrees): 3.7295 5.1863 8.1907 108.46 90.00 90.00
Fractional coordinates of all 6 atoms:
Ca: 0.5000 0.5000 0.0000
Ca: 0.5000 0.8384 0.6769
Ca: 0.5000 0.1616 0.3231
Ag: 0.0000 0.3276 0.6552
Ag: 0.0000 0.6724 0.3448
Au: 0.0000 0.0000 0.0000

(9)
## CaAg3Au (PBE)

Data for a relaxed CaAg3Au crystal.

The calculation puts the energy of formation at -0.244 eV per atom. The density of states at the Fermi level comes out at 2.20 states/eV per cell. The total magnetic moment is 0.00 Bohr magnetons per cell. The value obtained for the offset from the most stable computed form is 0.000 eV/atom. For the raw total energy, the calculation gives -15.1 eV/cell.

Lattice parameters (Å, degrees): 4.0805 4.0909 7.2263 73.84 73.86 90.01
Fractional coordinates of all 5 atoms:
Ca: 0.4131 0.2168 0.8799
Ag: 0.6489 0.9537 0.4059
Ag: 0.1498 0.4518 0.4068
Ag: 0.7954 0.5987 0.1124
Au: 0.0005 0.8042 0.7061

(10)
## CaAg4Au6 (PBE)

Data for a relaxed CaAg4Au6 crystal.

The calculation puts the energy of formation at 0.006 eV per atom. The density of states at the Fermi level comes out at 4.55 states/eV per cell. The total magnetic moment is 0.00 Bohr magnetons per cell. For the raw total energy, the calculation gives -33.0 eV/cell.

Lattice parameters (Å, degrees): 7.1412 7.1412 7.1412 84.46 123.25 123.25
Fractional coordinates of all 11 atoms:
Ca: 0.0000 0.0000 0.0000
Ag: 0.0000 0.2414 0.5525
Ag: 0.6889 0.4475 0.4475
Ag: 0.0000 0.5525 0.2414
Ag: 0.3111 0.7586 0.7586
Au: 0.0000 0.9005 0.4188
Au: 0.0000 0.4188 0.9005
Au: 0.5184 0.0995 0.0995
Au: 0.5000 0.0000 0.5000
Au: 0.4816 0.5812 0.5812
Au: 0.5000 0.5000 0.0000

(11)
## Ca2Ag2Au15 (PBE)

Data for a relaxed Ca2Ag2Au15 crystal.

The calculation puts the energy of formation at -0.248 eV per atom. The density of states at the Fermi level comes out at 5.40 states/eV per cell. The total magnetic moment is 0.00 Bohr magnetons per cell. For the raw total energy, the calculation gives -63.6 eV/cell.

Lattice parameters (Å, degrees): 7.3350 7.3350 7.3350 81.86 81.86 81.86
Fractional coordinates of all 19 atoms:
Ca: 0.3435 0.3435 0.3435
Ca: 0.6565 0.6565 0.6565
Ag: 0.0977 0.0977 0.0977
Ag: 0.9023 0.9023 0.9023
Au: 0.5000 0.0000 0.0000
Au: 0.0000 0.0000 0.5000
Au: 0.0000 0.5000 0.0000
Au: 0.0000 0.6927 0.3073
Au: 0.6927 0.3073 0.0000
Au: 0.3073 0.0000 0.6927
Au: 0.3073 0.6927 0.0000
Au: 0.6927 0.0000 0.3073
Au: 0.0000 0.3073 0.6927
Au: 0.1569 0.6494 0.6494
Au: 0.6494 0.6494 0.1569
Au: 0.6494 0.1569 0.6494
Au: 0.8431 0.3506 0.3506
Au: 0.3506 0.3506 0.8431
Au: 0.3506 0.8431 0.3506

(12)
## CaAg3Au (PBE)

Data for a relaxed CaAg3Au crystal.

The calculation puts the energy of formation at 0.151 eV per atom. The density of states at the Fermi level comes out at 2.42 states/eV per cell. The total magnetic moment is 0.00 Bohr magnetons per cell. The value obtained for the offset from the most stable computed form is 0.396 eV/atom. For the raw total energy, the calculation gives -13.1 eV/cell.

Lattice parameters (Å, degrees): 5.1703 5.1703 5.1703 90.00 90.00 90.00
Fractional coordinates of all 5 atoms:
Ca: 0.5000 0.5000 0.5000
Au: 0.0000 0.0000 0.0000
Ag: 0.0000 0.5000 0.0000
Ag: 0.0000 0.0000 0.5000
Ag: 0.5000 0.0000 0.0000